Here is an optimized crystal structure of UP2IrRh2 from the Alexandria database. Energies are from PBE.

Cell: 3.6653 8.3814 6.1451 Å, 90.00 90.00 90.00°
Last column: nearest neighbours and their distance in Å.
Element x y z (fractional)
U1 0.0000 0.0543 0.0000  5 P 2.81-3.07, 4 Ir 2.89-2.94
U2 0.0000 0.9457 0.5000  5 P 2.81-3.07, 4 Ir 2.89-2.94
P1 0.0000 0.3854 0.7862  4 Rh 2.30-2.40, 2 Ir 2.57
P2 0.0000 0.6146 0.2862  4 Rh 2.30-2.40, 2 Ir 2.57
P3 0.5000 0.1869 0.2964  3 Rh 2.33-2.40, 1 Ir 2.38
P4 0.5000 0.8131 0.7964  3 Rh 2.33-2.40, 1 Ir 2.38
Ir1 0.5000 0.1842 0.6831  3 P 2.38-2.57
Ir2 0.5000 0.8158 0.1831  3 P 2.38-2.57
Rh1 0.0000 0.3540 0.4060  4 P 2.30-2.40
Rh2 0.0000 0.6460 0.9060  4 P 2.30-2.40
Rh3 0.5000 0.3907 0.0391  3 P 2.33-2.40
Rh4 0.5000 0.6093 0.5391  3 P 2.33-2.40

ΔE_f = -0.64 eV/atom
total magnetic moment = 1.1 μB/f.u.
symmetry = Pmc2_1, No. 26
DOS(E_F) = 10.77 states/eV/cell